[1]
First-principles (PBE) data for crystalline CeSbP2Ir5 at its relaxed geometry, as listed in Alexandria.

- Magnetization: 0.6 μB per cell
- Raw total energy: -7.760 eV/atom
- Energy relative to the elements, uncorrected: -517 meV per atom

Cell lengths 4.0444, 4.0444, 10.4150 Å; angles 90.00, 90.00, 90.00 degrees
Last column: magnetic moment on the atom in μB.
Element x y z (fractional)
Ir: 0.0000 0.5000 0.8253  -0.01
Ir: 0.0000 0.5000 0.1747  -0.01
Ir: 0.5000 0.5000 0.5000  -0.04
Ir: 0.5000 0.0000 0.8253  -0.01
Ir: 0.5000 0.0000 0.1747  -0.01
Sb: 0.0000 0.0000 0.0000  0.00
P: 0.5000 0.5000 0.2797  0.00
P: 0.5000 0.5000 0.7203  0.00
Ce: 0.0000 0.0000 0.5000  0.64

---

[2]
First-principles (PBE) data for crystalline Ce2ScP3Ir12 at its relaxed geometry, as listed in Alexandria.

- Magnetization: 0.0 μB per cell
- Raw total energy: -8.028 eV/atom
- DFT formation energy: -0.21 eV per atom

Cell lengths 6.7636, 6.7636, 6.7636 Å; angles 82.38, 82.38, 82.38 degrees
Element x y z (fractional)
Ir: 0.6619 0.1780 0.1780
Ir: 0.1015 0.6337 0.6337
Ir: 0.3663 0.8985 0.3663
Ir: 0.8985 0.3663 0.3663
Ir: 0.1780 0.1780 0.6619
Ir: 0.6337 0.6337 0.1015
Ir: 0.8220 0.3381 0.8220
Ir: 0.6337 0.1015 0.6337
Ir: 0.3381 0.8220 0.8220
Ir: 0.1780 0.6619 0.1780
Ir: 0.3663 0.3663 0.8985
Ir: 0.8220 0.8220 0.3381
Sc: 0.0000 0.0000 0.0000
Ce: 0.3797 0.3797 0.3797
Ce: 0.6203 0.6203 0.6203
P: 0.0000 0.5000 0.0000
P: 0.0000 0.0000 0.5000
P: 0.5000 0.0000 0.0000